1.
# PIr2Rh

Crystalline PIr2Rh at its relaxed geometry (GGA-PBE, Alexandria).

Calculated values
ΔE_f, eV/atom: -0.16
D(E_F), states/eV per atom: 0.495

Cell: 2.806 4.104 9.903 Å, 90.00 90.00 90.00°
Space group Immm (No. 71)
One atom of each set of equivalent atoms:
P 0.000 0.000 0.000 (multiplicity 2)
Ir 0.000 0.500 0.308 (multiplicity 4)
Rh 0.000 0.000 0.500 (multiplicity 2)



2.
# PIrRh2

Crystalline PIrRh2 at its relaxed geometry (GGA-PBE, Alexandria).

Calculated values
ΔE_f, eV/atom: -0.11
D(E_F), states/eV per atom: 1.230

Cell: 2.861 3.820 5.276 Å, 90.00 104.21 90.00°
Space group P2/m (No. 10)
One atom of each set of equivalent atoms:
P 0.000 0.000 0.000 (multiplicity 1)
Ir 0.000 0.000 0.500 (multiplicity 1)
Rh 0.362 0.500 0.230 (multiplicity 2)



3.
# PIrRh2

Crystalline PIrRh2 at its relaxed geometry (GGA-PBE, Alexandria).

Calculated values
ΔE_f, eV/atom: 0.11
D(E_F), states/eV per atom: 1.108

Cell: 2.759 4.498 4.529 Å, 90.00 90.00 90.00°
Space group Pmmm (No. 47)
One atom of each set of equivalent atoms:
P 0.000 0.000 0.000 (multiplicity 1)
Ir 0.500 0.500 0.000 (multiplicity 1)
Rh 0.000 0.500 0.500 (multiplicity 1)
Rh 0.500 0.000 0.500 (multiplicity 1)